AsCSe2Br, optimized geometry, DFT PBE; calculated volume = 27.62 A^3/atom; formation energy from raw total energies = 2.385 eV per atom; spin magnetization = 0.30 μB per formula unit
1.0
5.109 0.000 0.000
0.000 5.109 0.000
0.000 0.000 5.290
As C Se Br
1 1 2 1
Direct
0.000 0.000 0.000
0.500 0.500 0.000
0.000 0.500 0.500
0.500 0.000 0.500
0.000 0.000 0.500

=====

Sm2Th2Hg3, optimized geometry, DFT PBE; ΔE_f = -0.23 eV per atom; calculated volume = 28.24 A^3/atom; spin magnetization = 0.00 μB per formula unit
1.0
3.541 0.000 0.000
0.000 31.969 0.000
0.000 0.000 3.492
Sm Th Hg
4 4 6
Direct
0.000 0.067 0.000
0.000 0.933 0.000
0.500 0.433 0.000
0.500 0.567 0.000
0.000 0.204 0.000
0.000 0.796 0.000
0.500 0.296 0.000
0.500 0.704 0.000
0.000 0.366 0.500
0.000 0.500 0.500
0.000 0.634 0.500
0.500 0.000 0.500
0.500 0.134 0.500
0.500 0.866 0.500

=====

KInPb, optimized geometry, DFT PBE; ΔE_f = -0.10 eV per atom; calculated volume = 33.86 A^3/atom; spin magnetization = 0.00 μB per formula unit
1.0
5.119 0.000 0.000
0.000 14.942 0.000
0.000 0.000 5.313
K In Pb
4 4 4
Direct
0.000 0.000 0.000
0.000 0.500 0.500
0.500 0.000 0.500
0.500 0.500 0.000
0.000 0.179 0.500
0.000 0.321 0.000
0.000 0.679 0.000
0.000 0.821 0.500
0.500 0.186 0.999
0.500 0.314 0.499
0.500 0.686 0.499
0.500 0.814 0.999

=====

NaCuI2, optimized geometry, DFT PBE; calculated volume = 28.50 A^3/atom; formation energy from raw total energies = -0.537 eV per atom; spin magnetization = 0.00 μB per formula unit
1.0
4.274 0.000 0.000
-2.137 3.701 0.000
0.000 0.000 21.620
Na Cu I
3 3 6
Direct
0.000 0.000 0.000
0.333 0.667 0.667
0.667 0.333 0.333
0.000 0.000 0.500
0.333 0.667 0.167
0.667 0.333 0.833
0.000 0.000 0.238
0.000 0.000 0.762
0.333 0.667 0.428
0.333 0.667 0.905
0.667 0.333 0.095
0.667 0.333 0.572

=====

Tb3Ho12Sc, optimized geometry, DFT PBE; ΔE_f = 0.03 eV per atom; calculated volume = 30.72 A^3/atom; spin magnetization = 0.00 μB per formula unit
1.0
4.977 0.000 0.000
0.000 4.977 0.000
0.000 0.000 19.846
Tb Ho Sc
3 12 1
Direct
0.000 0.000 0.000
0.000 0.000 0.252
0.000 0.000 0.748
0.000 0.500 0.126
0.000 0.500 0.379
0.000 0.500 0.621
0.000 0.500 0.874
0.500 0.000 0.126
0.500 0.000 0.379
0.500 0.000 0.621
0.500 0.000 0.874
0.500 0.500 0.000
0.500 0.500 0.253
0.500 0.500 0.500
0.500 0.500 0.747
0.000 0.000 0.500

=====

CaTb2In4, optimized geometry, DFT PBE; ΔE_f = -0.29 eV per atom; calculated volume = 29.27 A^3/atom; spin magnetization = 0.22 μB per formula unit
1.0
5.256 0.000 0.000
0.000 5.256 0.000
0.000 0.000 14.836
Ca Tb In
2 4 8
Direct
0.000 0.000 0.000
0.500 0.500 0.500
0.000 0.000 0.251
0.000 0.000 0.749
0.500 0.500 0.249
0.500 0.500 0.751
0.000 0.500 0.116
0.000 0.500 0.384
0.000 0.500 0.616
0.000 0.500 0.884
0.500 0.000 0.116
0.500 0.000 0.384
0.500 0.000 0.616
0.500 0.000 0.884

=====

Na2RuPtO4, optimized geometry, DFT PBE; calculated volume = 13.51 A^3/atom; formation energy from raw total energies = -0.872 eV per atom; spin magnetization = 0.49 μB per formula unit
1.0
5.850 0.000 0.000
0.000 5.850 0.000
0.000 0.000 6.315
Na Ru Pt O
4 2 2 8
Direct
0.000 0.000 0.000
0.000 0.500 0.250
0.500 0.000 0.750
0.500 0.500 0.500
0.000 0.000 0.500
0.500 0.500 0.000
0.000 0.500 0.750
0.500 0.000 0.250
0.155 0.810 0.707
0.190 0.155 0.293
0.310 0.345 0.793
0.345 0.690 0.207
0.655 0.310 0.207
0.690 0.655 0.793
0.810 0.845 0.293
0.845 0.190 0.707

=====

Er7Tm3Tc4, optimized geometry, DFT PBE; ΔE_f = -0.01 eV per atom; calculated volume = 24.75 A^3/atom; spin magnetization = 0.00 μB per formula unit
1.0
9.362 -1.822 0.000
9.362 1.822 0.000
-6.302 0.000 10.158
Er Tm Tc
7 3 4
Direct
0.000 0.000 0.000
0.163 0.163 0.908
0.318 0.318 0.481
0.497 0.497 0.749
0.503 0.503 0.251
0.682 0.682 0.519
0.837 0.837 0.092
0.000 0.000 0.500
0.296 0.296 0.802
0.704 0.704 0.198
0.130 0.130 0.292
0.364 0.364 0.293
0.636 0.636 0.707
0.870 0.870 0.708

=====

Mn4AsC, optimized geometry, DFT PBE; ΔE_f = 0.10 eV per atom; calculated volume = 12.39 A^3/atom; spin magnetization = 9.28 μB per formula unit
1.0
5.174 0.000 0.000
0.000 5.113 0.000
-1.236 0.000 5.620
Mn As C
8 2 2
Direct
0.104 0.176 0.209
0.104 0.324 0.709
0.345 0.613 0.109
0.345 0.887 0.609
0.655 0.113 0.391
0.655 0.387 0.891
0.896 0.676 0.291
0.896 0.824 0.791
0.500 0.000 0.000
0.500 0.500 0.500
0.000 0.000 0.500
0.000 0.500 0.000

=====

BeNiN2, optimized geometry, DFT PBE; calculated volume = 8.24 A^3/atom; formation energy from raw total energies = 0.615 eV per atom; spin magnetization = 0.00 μB per formula unit
1.0
2.567 0.000 0.000
-1.283 2.223 0.000
0.000 0.000 17.335
Be Ni N
3 3 6
Direct
0.000 0.000 0.000
0.333 0.667 0.667
0.667 0.333 0.333
0.000 0.000 0.500
0.333 0.667 0.167
0.667 0.333 0.833
0.000 0.000 0.398
0.000 0.000 0.602
0.333 0.667 0.064
0.333 0.667 0.269
0.667 0.333 0.731
0.667 0.333 0.936

=====

Cu2IO6, optimized geometry, DFT PBE; calculated volume = 11.49 A^3/atom; formation energy from raw total energies = -0.286 eV per atom; spin magnetization = 0.00 μB per formula unit
1.0
5.120 0.000 0.000
0.000 4.720 0.000
-5.100 0.000 8.556
Cu I O
4 2 12
Direct
0.189 0.001 0.189
0.189 0.499 0.689
0.811 0.501 0.311
0.811 0.999 0.811
0.500 0.000 0.000
0.500 0.500 0.500
0.167 0.220 0.837
0.167 0.280 0.337
0.190 0.715 0.501
0.190 0.785 0.001
0.492 0.222 0.162
0.492 0.278 0.662
0.508 0.722 0.338
0.508 0.778 0.838
0.810 0.215 0.999
0.810 0.285 0.499
0.833 0.720 0.663
0.833 0.780 0.163

=====

ZnReP2, optimized geometry, DFT PBE; ΔE_f = 0.56 eV per atom; calculated volume = 14.29 A^3/atom; spin magnetization = 0.00 μB per formula unit
1.0
3.199 0.000 0.000
0.000 3.863 0.000
0.000 0.000 4.624
Zn Re P
1 1 2
Direct
0.000 0.000 0.000
0.500 0.000 0.500
0.000 0.500 0.500
0.500 0.500 0.000

=====

MgAu3N, optimized geometry, DFT PBE; calculated volume = 17.82 A^3/atom; formation energy from raw total energies = 0.542 eV per atom; spin magnetization = 0.00 μB per formula unit
1.0
4.466 0.000 0.000
0.000 4.466 0.000
0.000 0.000 4.466
Mg Au N
1 3 1
Direct
0.000 0.000 0.000
0.000 0.500 0.500
0.500 0.000 0.500
0.500 0.500 0.000
0.500 0.500 0.500

=====

BaScW2, optimized geometry, DFT PBE; ΔE_f = 1.24 eV per atom; calculated volume = 21.06 A^3/atom; spin magnetization = 0.00 μB per formula unit
1.0
5.753 0.000 0.000
0.000 10.485 0.000
-1.010 0.000 2.793
Ba Sc W
2 2 4
Direct
0.000 0.000 0.000
0.500 0.500 0.000
0.000 0.500 0.000
0.500 0.000 0.000
0.250 0.250 0.500
0.250 0.750 0.500
0.750 0.250 0.500
0.750 0.750 0.500

=====

AsPdCBr2, optimized geometry, DFT PBE; calculated volume = 19.32 A^3/atom; formation energy from raw total energies = 1.262 eV per atom; spin magnetization = 0.00 μB per formula unit
1.0
4.751 0.000 0.000
0.000 4.751 0.000
0.000 0.000 4.278
As Pd C Br
1 1 1 2
Direct
0.000 0.000 0.000
0.500 0.500 0.000
0.000 0.000 0.500
0.000 0.500 0.500
0.500 0.000 0.500

=====

PmFeCoSi2, optimized geometry, DFT PBE; calculated volume = 15.40 A^3/atom; formation energy from raw total energies = -0.725 eV per atom; spin magnetization = 0.00 μB per formula unit
1.0
3.971 0.000 0.000
0.000 3.971 0.000
0.000 0.000 9.765
Pm Fe Co Si
2 2 2 4
Direct
0.000 0.000 0.000
0.500 0.500 0.500
0.000 0.500 0.750
0.500 0.000 0.250
0.000 0.500 0.250
0.500 0.000 0.750
0.000 0.000 0.365
0.000 0.000 0.635
0.500 0.500 0.135
0.500 0.500 0.865

=====

MnAsP2S, optimized geometry, DFT PBE; calculated volume = 17.76 A^3/atom; formation energy from raw total energies = 0.517 eV per atom; spin magnetization = 0.20 μB per formula unit
1.0
4.199 0.000 0.000
0.000 4.199 0.000
0.000 0.000 5.037
Mn As P S
1 1 2 1
Direct
0.000 0.000 0.000
0.500 0.500 0.500
0.000 0.500 0.000
0.500 0.000 0.000
0.000 0.000 0.500

=====

Pt2Pb, optimized geometry, DFT PBE; ΔE_f = 0.05 eV per atom; calculated volume = 18.78 A^3/atom; spin magnetization = 0.00 μB per formula unit
1.0
4.753 0.000 0.000
-2.377 4.116 0.000
0.000 0.000 5.760
Pt Pb
4 2
Direct
0.000 0.000 0.000
0.000 0.000 0.500
0.333 0.667 0.250
0.667 0.333 0.750
0.333 0.667 0.750
0.667 0.333 0.250

=====

Sr3AgGe2O8, optimized geometry, DFT PBE; calculated volume = 15.09 A^3/atom; formation energy from raw total energies = -1.957 eV per atom; spin magnetization = 1.02 μB per formula unit
1.0
5.784 0.000 0.000
-2.892 5.009 0.000
0.000 0.000 7.292
Sr Ag Ge O
3 1 2 8
Direct
0.000 0.000 0.000
0.333 0.667 0.650
0.667 0.333 0.350
0.000 0.000 0.500
0.333 0.667 0.200
0.667 0.333 0.800
0.170 0.340 0.296
0.170 0.830 0.296
0.333 0.667 0.963
0.340 0.170 0.704
0.660 0.830 0.296
0.667 0.333 0.037
0.830 0.170 0.704
0.830 0.660 0.704

=====

Pr5SmHo4, optimized geometry, DFT PBE; ΔE_f = 0.02 eV per atom; calculated volume = 33.71 A^3/atom; spin magnetization = 0.00 μB per formula unit
1.0
9.408 -1.819 0.000
9.408 1.819 0.000
-2.886 0.000 9.847
Pr Sm Ho
5 1 4
Direct
0.000 0.000 0.000
0.200 0.200 0.101
0.399 0.399 0.695
0.601 0.601 0.305
0.800 0.800 0.899
0.000 0.000 0.500
0.200 0.200 0.600
0.399 0.399 0.204
0.601 0.601 0.796
0.800 0.800 0.400